Density functional theory data (PBEsol) for a geometry-optimized CrSbSeN2 structure.

a b c (Å): 3.815 3.815 4.970
angles (deg): 90.00 90.00 90.00
Space group P4/mmm (No. 123)
One atom of each set of equivalent atoms:
Cr 0.000 0.000 0.000
Sb 0.500 0.500 0.500
Se 0.000 0.000 0.500
N 0.000 0.500 0.000

Properties
Electronic total energy = -0.4870 Ry per atom
Energy relative to the elements, uncorrected = 514 meV/atom

---

Density functional theory data (PBEsol) for a geometry-optimized CrSb2TeN structure.

a b c (Å): 4.676 4.676 4.573
angles (deg): 90.00 90.00 90.00
Space group P4/mmm (No. 123)
One atom of each set of equivalent atoms:
Cr 0.000 0.000 0.000
Sb 0.000 0.500 0.500
Te 0.500 0.500 0.000
N 0.500 0.500 0.500

Properties
Electronic total energy = -0.4106 Ry per atom
Energy relative to the elements, uncorrected = 696 meV/atom

---

Density functional theory data (PBEsol) for a geometry-optimized Sc3CrN structure.

a b c (Å): 4.395 4.395 4.395
angles (deg): 90.00 90.00 90.00
Space group Pm-3m (No. 221)
One atom of each set of equivalent atoms:
Sc 0.000 0.000 0.500
Cr 0.500 0.500 0.500
N 0.000 0.000 0.000

Properties
Electronic total energy = -0.6106 Ry per atom
Energy relative to the elements, uncorrected = -590 meV/atom

---

Density functional theory data (PBEsol) for a geometry-optimized Sc2CrN structure.

a b c (Å): 3.0907 3.0907 23.2867
angles (deg): 90.00 90.00 120.00
Space group R-3m (No. 166, hexagonal axes)
One atom of each set of equivalent atoms:
Sc 0.0000 0.0000 0.1141
Cr 0.0000 0.0000 0.0000
N 0.0000 0.0000 0.5000

Properties
Electronic total energy = -0.6253 Ry per atom
Energy relative to the elements, uncorrected = -513 meV/atom

---

Density functional theory data (PBEsol) for a geometry-optimized Sc2CrN3 structure.

a b c (Å): 3.038 3.561 11.654
angles (deg): 90.00 90.00 90.00
Space group Immm (No. 71)
One atom of each set of equivalent atoms:
Sc 0.000 0.000 0.152
Cr 0.000 0.000 0.500
N 0.000 0.000 0.335
N 0.000 0.500 0.500

Properties
Electronic total energy = -0.7036 Ry per atom
Energy relative to the elements, uncorrected = -1401 meV/atom

---

Density functional theory data (PBEsol) for a geometry-optimized ScCrTe2N structure.

a b c (Å): 5.604 5.604 3.821
angles (deg): 90.00 90.00 90.00
Space group P4/mmm (No. 123)
One atom of each set of equivalent atoms:
Sc 0.000 0.000 0.000
Cr 0.500 0.500 0.500
Te 0.000 0.500 0.000
N 0.000 0.000 0.500

Properties
Electronic total energy = -0.4480 Ry per atom
Energy relative to the elements, uncorrected = 389 meV/atom